No. 1
Computed, not measured: an optimized crystal structure of Sr2BiTeIr at the PBE-GGA level of DFT.

Energy relative to the lowest polymorph listed for this composition   2.645 eV/f.u.
Total magnetization   0.00 μB per formula unit
Formation energy (no corrections)   -0.3 eV per formula unit
DOS at the Fermi energy   4.55 states/eV/f.u.

The structure in POSCAR format:
```
Sr2BiTeIr
1.0
-6.198 0.213 -1.401
0.651 -3.498 -3.411
-1.142 -4.474 4.371
Sr Ir Te Bi
2 1 1 1
Direct
0.000 0.000 0.500 Sr
0.500 0.000 0.000 Sr
0.000 0.500 0.000 Ir
0.500 0.500 0.500 Te
0.000 0.000 0.000 Bi
```


No. 2
Computed, not measured: an optimized crystal structure of Ho5CuSn4 at the PBE-GGA level of DFT.

ΔE_f   -37 kJ per mole of atoms
Total magnetization   0.00 μB per formula unit
DOS at the Fermi energy   8.07 states/eV/f.u.

The structure in POSCAR format:
```
Ho5CuSn4
1.0
6.158 0.000 0.000
3.079 6.775 0.000
3.079 0.000 6.775
Ho Cu Sn
5 1 4
Direct
0.882 0.389 0.797 Ho
0.271 0.797 0.611 Ho
0.679 0.203 0.389 Ho
0.068 0.611 0.203 Ho
0.612 0.000 0.000 Ho
0.114 0.000 0.000 Cu
0.374 0.387 0.807 Sn
0.760 0.807 0.613 Sn
0.181 0.193 0.387 Sn
0.568 0.613 0.193 Sn
```


No. 3
Computed, not measured: an optimized crystal structure of NaHg3S4 at the PBE-GGA level of DFT.

Total magnetization   0.00 μB per formula unit
Formation energy (no corrections)   -1.6 eV per formula unit
DOS at the Fermi energy   5.65 states/eV/f.u.

The structure in POSCAR format:
```
NaHg3S4
1.0
7.009 0.000 0.000
0.000 7.370 0.000
0.000 0.000 8.476
Na Hg S
2 6 8
Direct
0.996 0.165 0.000 Na
0.496 0.835 0.500 Na
0.499 0.822 0.000 Hg
0.004 0.664 0.251 Hg
0.504 0.336 0.249 Hg
0.999 0.178 0.500 Hg
0.504 0.336 0.751 Hg
0.004 0.664 0.749 Hg
0.134 0.815 0.000 S
0.603 0.158 0.000 S
0.138 0.341 0.260 S
0.638 0.659 0.240 S
0.103 0.842 0.500 S
0.634 0.185 0.500 S
0.638 0.659 0.760 S
0.138 0.341 0.740 S
```


No. 4
Computed, not measured: an optimized crystal structure of ZnS2BrCl at the PBE-GGA level of DFT.

Energy relative to the lowest polymorph listed for this composition   0.000 eV/f.u.
Total magnetization   0.00 μB per formula unit
Formation energy (no corrections)   2.2 eV per formula unit
DOS at the Fermi energy   4.44 states/eV/f.u.

The structure in POSCAR format:
```
ZnS2BrCl
1.0
-2.129 -4.218 1.012
1.529 0.325 4.572
-3.925 2.257 1.153
Zn S Br Cl
1 2 1 1
Direct
0.000 0.000 0.000 Zn
0.000 0.500 0.000 S
0.500 0.000 0.000 S
0.500 0.500 0.500 Br
0.000 0.000 0.500 Cl
```


No. 5
Computed, not measured: an optimized crystal structure of KIrOs2 at the PBE-GGA level of DFT.

ΔE_f   163 kJ per mole of atoms
Energy relative to the lowest polymorph listed for this composition   4.032 eV/f.u.
Total magnetization   0.00 μB per formula unit
DOS at the Fermi energy   5.76 states/eV/f.u.

The structure in POSCAR format:
```
KIrOs2
1.0
5.003 -0.010 0.000
1.775 4.678 0.000
-3.389 -2.334 2.846
Ir K Os
1 1 2
Direct
0.250 0.750 0.500 Ir
0.750 0.250 0.500 K
0.000 0.000 0.000 Os
0.500 0.500 0.000 Os
```


No. 6
Computed, not measured: an optimized crystal structure of CsKTa3 at the PBE-GGA level of DFT.

ΔE_f   331 kJ per mole of atoms
Energy relative to the lowest polymorph listed for this composition   1.414 eV/f.u.
Total magnetization   1.06 μB per formula unit
DOS at the Fermi energy   8.33 states/eV/f.u.

The structure in POSCAR format:
```
CsKTa3
1.0
5.125 0.000 0.000
0.000 5.125 0.000
0.000 0.000 5.125
Cs K Ta
1 1 3
Direct
0.500 0.500 0.500 Cs
0.000 0.000 0.000 K
0.000 0.500 0.000 Ta
0.000 0.000 0.500 Ta
0.500 0.000 0.000 Ta
```


No. 7
Computed, not measured: an optimized crystal structure of Tb4SmTh at the PBE-GGA level of DFT.

ΔE_f   2 kJ per mole of atoms
Energy relative to the lowest polymorph listed for this composition   0.000 eV/f.u.
Total magnetization   0.00 μB per formula unit
DOS at the Fermi energy   8.16 states/eV/f.u.

The structure in POSCAR format:
```
Tb4SmTh
1.0
-1.168 -1.337 3.097
-6.056 -4.027 -6.075
10.991 0.675 4.403
Tb Sm Th
4 1 1
Direct
0.829 0.656 0.494 Tb
0.171 0.344 0.506 Tb
0.337 0.674 0.002 Tb
0.663 0.326 0.998 Tb
0.500 0.000 0.500 Sm
0.000 0.000 0.000 Th
```


No. 8
Computed, not measured: an optimized crystal structure of Na2Sc2Bi2Se at the PBE-GGA level of DFT.

Total magnetization   0.00 μB per formula unit
Formation energy (no corrections)   -5.4 eV per formula unit
DOS at the Fermi energy   1.40 states/eV/f.u.

The structure in POSCAR format:
```
Na2Sc2Bi2Se
1.0
-1.359 4.879 0.367
-2.687 -0.426 -4.288
-4.576 -4.392 6.312
Na Sc Bi Se
2 2 2 1
Direct
0.183 0.183 0.367 Na
0.817 0.817 0.633 Na
0.000 0.500 0.000 Sc
0.500 0.000 0.000 Sc
0.380 0.380 0.759 Bi
0.620 0.620 0.241 Bi
0.000 0.000 0.000 Se
```


No. 9
Computed, not measured: an optimized crystal structure of Ba2PrZnO5 at the PBE-GGA level of DFT.

Total magnetization   1.10 μB per formula unit
Formation energy (no corrections)   -20.4 eV per formula unit
DOS at the Fermi energy   6.77 states/eV/f.u.

The structure in POSCAR format:
```
Ba2PrZnO5
1.0
-0.435 3.447 1.284
-1.351 -4.444 6.131
11.259 0.391 2.765
Ba Pr Zn O
4 2 2 10
Direct
0.861 0.721 0.838 Ba
0.106 0.212 0.678 Ba
0.139 0.279 0.338 Ba
0.894 0.788 0.178 Ba
0.811 0.622 0.536 Pr
0.189 0.378 0.036 Pr
0.537 0.074 0.929 Zn
0.463 0.926 0.429 Zn
0.340 0.681 0.010 O
0.670 0.341 0.894 O
0.490 0.980 0.774 O
0.296 0.592 0.666 O
0.977 0.953 0.499 O
0.660 0.319 0.510 O
0.330 0.659 0.394 O
0.510 0.020 0.274 O
0.704 0.408 0.166 O
0.023 0.047 0.999 O
```


No. 10
Computed, not measured: an optimized crystal structure of MnAgAu6 at the PBE-GGA level of DFT.

ΔE_f   20 kJ per mole of atoms
Energy relative to the lowest polymorph listed for this composition   1.607 eV/f.u.
Total magnetization   4.66 μB per formula unit
DOS at the Fermi energy   3.73 states/eV/f.u.

The structure in POSCAR format:
```
MnAgAu6
1.0
5.483 0.442 0.500
-0.159 5.498 0.500
-0.159 -0.178 5.518
Mn Ag Au
1 1 6
Direct
0.500 0.500 0.500 Mn
0.000 0.000 0.000 Ag
0.169 0.541 0.169 Au
0.169 0.169 0.541 Au
0.831 0.459 0.831 Au
0.459 0.831 0.831 Au
0.831 0.831 0.459 Au
0.541 0.169 0.169 Au
```


No. 11
Computed, not measured: an optimized crystal structure of CaBeMo at the PBE-GGA level of DFT.

ΔE_f   104 kJ per mole of atoms
Energy relative to the lowest polymorph listed for this composition   1.656 eV/f.u.
Total magnetization   2.31 μB per formula unit
DOS at the Fermi energy   2.61 states/eV/f.u.

The structure in POSCAR format:
```
CaBeMo
1.0
-1.094 -2.774 -3.258
-2.716 -3.389 0.803
-4.103 0.022 -1.635
Be Mo Ca
1 1 1
Direct
0.750 0.750 0.750 Be
0.500 0.500 0.500 Mo
0.000 0.000 0.000 Ca
```


No. 12
Computed, not measured: an optimized crystal structure of AcHo2 at the PBE-GGA level of DFT.

ΔE_f   25 kJ per mole of atoms
Energy relative to the lowest polymorph listed for this composition   0.565 eV/f.u.
Total magnetization   2.68 μB per formula unit
DOS at the Fermi energy   5.60 states/eV/f.u.

The structure in POSCAR format:
```
AcHo2
1.0
-1.883 5.536 -3.553
-4.434 -0.602 -5.177
-6.350 2.472 0.628
Ac Ho
2 4
Direct
0.000 0.000 0.000 Ac
0.250 0.250 0.250 Ac
0.125 0.625 0.625 Ho
0.625 0.125 0.625 Ho
0.625 0.625 0.625 Ho
0.625 0.625 0.125 Ho
```